# 1
{"formula": "YMo2Br", "functional": "meta-GGA SCAN", "state": "PBEsol geometry", "energy_ev_per_atom": -28.4109, "raw_formation_energy_ev_per_atom": 0.8573, "e_above_lowest_polymorph_mev_per_atom": 94, "sg": "P4/mmm", "lattice": [[3.679, 0.000, 0.000], [0.000, 3.679, 0.000], [0.000, 0.000, 5.683]], "species": ["Y", "Mo", "Mo", "Br"], "frac_coords": [[0.500, 0.500, 0.000], [0.000, 0.000, 0.704], [0.000, 0.000, 0.296], [0.500, 0.500, 0.500]]}

***

# 2
{"formula": "YMoBr2", "functional": "meta-GGA SCAN", "state": "PBEsol geometry", "energy_ev_per_atom": -25.4667, "raw_formation_energy_ev_per_atom": -0.0549, "e_above_lowest_polymorph_mev_per_atom": 0, "sg": "R-3m", "lattice": [[-2.249, 2.067, -1.170], [-2.740, -1.162, -1.356], [-5.820, 0.457, 7.423]], "species": ["Y", "Mo", "Br", "Br"], "frac_coords": [[0.500, 0.500, 0.500], [0.000, 0.000, 0.000], [0.910, 0.910, 0.270], [0.090, 0.090, 0.730]]}

***

# 3
{"formula": "ZnMo2Br", "functional": "meta-GGA SCAN", "state": "PBEsol geometry", "energy_ev_per_atom": -24.6027, "raw_formation_energy_ev_per_atom": 1.0836, "sg": "I4/mmm", "lattice": [[-0.046, 0.894, 3.689], [-3.340, -1.763, 0.385], [3.817, -3.382, -1.086]], "species": ["Br", "Mo", "Mo", "Zn"], "frac_coords": [[0.000, 0.000, 0.000], [0.750, 0.250, 0.500], [0.250, 0.750, 0.500], [0.500, 0.500, 0.000]]}

***

# 4
{"formula": "ZrMoBr2", "functional": "meta-GGA SCAN", "state": "PBEsol geometry", "energy_ev_per_atom": -26.2164, "raw_formation_energy_ev_per_atom": -0.0907, "e_above_lowest_polymorph_mev_per_atom": 0, "sg": "Cm", "lattice": [[3.266, 0.000, 0.000], [0.000, 5.787, -0.120], [-1.633, -0.289, 5.282]], "species": ["Mo", "Br", "Br", "Zr"], "frac_coords": [[0.412, 0.418, 0.824], [0.039, 0.171, 0.077], [0.274, 0.755, 0.548], [0.776, 0.156, 0.551]]}

***

# 5
{"formula": "ZrMoBr2", "functional": "meta-GGA SCAN", "state": "PBEsol geometry", "energy_ev_per_atom": -25.8596, "raw_formation_energy_ev_per_atom": 0.2662, "e_above_lowest_polymorph_mev_per_atom": 357, "sg": "Pmmm", "lattice": [[3.051, 0.000, 0.000], [0.000, 4.498, 0.000], [0.000, 0.000, 5.786]], "species": ["Mo", "Br", "Br", "Zr"], "frac_coords": [[0.500, 0.500, 0.000], [0.000, 0.000, 0.000], [0.500, 0.000, 0.500], [0.000, 0.500, 0.500]]}

***

# 6
{"formula": "ZrMoBr2", "functional": "meta-GGA SCAN", "state": "PBEsol geometry", "energy_ev_per_atom": -25.4570, "raw_formation_energy_ev_per_atom": 0.6687, "e_above_lowest_polymorph_mev_per_atom": 759, "sg": "F-43m", "lattice": [[-1.653, -1.191, -4.361], [2.779, -2.512, -3.024], [-1.065, -4.587, -1.000]], "species": ["Mo", "Br", "Br", "Zr"], "frac_coords": [[0.500, 0.500, 0.500], [0.000, 0.000, 0.000], [0.750, 0.750, 0.750], [0.250, 0.250, 0.250]]}

***

# 7
{"formula": "ZrMoBr", "functional": "meta-GGA SCAN", "state": "PBEsol geometry", "energy_ev_per_atom": -27.9864, "raw_formation_energy_ev_per_atom": 0.3614, "sg": "I4mm", "lattice": [[3.126, 0.000, 0.000], [0.000, 3.126, 0.000], [-1.563, -1.563, 5.743]], "species": ["Mo", "Br", "Zr"], "frac_coords": [[0.666, 0.666, 0.332], [0.010, 0.010, 0.021], [0.324, 0.324, 0.648]]}

***

# 8
{"formula": "NaBrN2", "functional": "meta-GGA SCAN", "state": "PBEsol geometry", "energy_ev_per_atom": -8.8242, "raw_formation_energy_ev_per_atom": 1.7400, "sg": "R-3m", "lattice": [[3.191, 0.000, 0.000], [1.595, 2.763, 0.000], [1.595, 0.921, 6.710]], "species": ["Na", "Br", "N", "N"], "frac_coords": [[0.000, 0.000, 0.000], [0.500, 0.500, 0.500], [0.890, 0.890, 0.329], [0.110, 0.110, 0.671]]}